Material: Mn3CuPd4
Method: DFT, GGA-PBE
State: relaxed

abc: 4.442 4.442 6.783
angles: 109.11 109.11 90.00
Each line ends with the local moment (μB).
Sites, in units of the cell vectors:
1 Mn 0.255 0.755 0.510  3.89
2 Pd 0.375 0.375 0.751  0.29
3 Mn 0.000 0.500 0.000  3.99
4 Mn 0.745 0.245 0.490  3.89
5 Pd 0.875 0.875 0.751  0.29
6 Pd 0.125 0.125 0.249  0.29
7 Pd 0.625 0.625 0.249  0.29
8 Cu 0.500 0.000 0.000  0.04

## Properties
- DOS(E_F) (states/eV/atom) = 0.394
- energy relative to the elements (eV/f.u.) = -1.584
- symmetry = No. 139



Material: Mn2CuPd4
Method: DFT, GGA-PBE
State: relaxed

abc: 2.780 6.680 6.636
angles: 117.51 102.09 90.00
Each line ends with the local moment (μB).
Sites, in units of the cell vectors:
1 Pd 0.086 0.726 0.172  0.27
2 Pd 0.367 0.611 0.734  0.22
3 Pd 0.914 0.274 0.828  0.27
4 Pd 0.633 0.389 0.266  0.22
5 Mn 0.777 0.834 0.554  3.83
6 Mn 0.223 0.166 0.446  3.83
7 Cu 0.000 0.000 0.000  0.10

## Properties
- DOS(E_F) (states/eV/atom) = 0.461
- ΔE to the lowest computed polymorph (meV per atom) = 34.6
- energy relative to the elements (eV/f.u.) = -0.397
- symmetry = No. 12



Material: MnCu8Pd6
Method: DFT, GGA-PBE
State: relaxed

abc: 6.985 6.985 6.559
angles: 57.83 57.83 60.00
Each line ends with the local moment (μB).
Sites, in units of the cell vectors:
1 Cu 0.878 0.555 0.392  0.02
2 Pd 0.123 0.646 0.871  0.07
3 Cu 0.757 0.757 0.730  0.01
4 Cu 0.555 0.175 0.392  0.02
5 Pd 0.354 0.640 0.129  0.07
6 Cu 0.122 0.445 0.608  0.02
7 Pd 0.640 0.877 0.129  0.07
8 Pd 0.877 0.354 0.129  0.07
9 Cu 0.825 0.122 0.608  0.02
10 Pd 0.646 0.360 0.871  0.07
11 Cu 0.445 0.825 0.608  0.02
12 Cu 0.175 0.878 0.392  0.02
13 Mn 0.000 0.000 0.000  3.95
14 Cu 0.243 0.243 0.270  0.01
15 Pd 0.360 0.123 0.871  0.07

## Properties
- DOS(E_F) (states/eV/atom) = 0.272
- energy relative to the elements (eV/f.u.) = 0.699
- symmetry = No. 148



Material: MnCu3Pd6
Method: DFT, GGA-PBE
State: relaxed

abc: 4.464 7.290 9.506
angles: 111.18 90.00 90.00
Each line ends with the local moment (μB).
Sites, in units of the cell vectors:
1 Cu 0.750 0.236 0.026  0.02
2 Pd 0.750 0.742 0.510  0.19
3 Pd 0.750 0.927 0.123  0.07
4 Pd 0.750 0.843 0.820  0.06
5 Pd 0.250 0.073 0.877  0.07
6 Mn 0.250 0.957 0.586  3.86
7 Pd 0.250 0.258 0.490  0.19
8 Cu 0.250 0.764 0.974  0.02
9 Mn 0.750 0.043 0.414  3.86
10 Pd 0.250 0.850 0.287  0.18
11 Pd 0.750 0.345 0.327  0.10
12 Cu 0.250 0.550 0.374  0.03
13 Pd 0.250 0.465 0.078  0.08
14 Cu 0.250 0.373 0.783  0.03
15 Pd 0.250 0.157 0.180  0.06
16 Pd 0.750 0.535 0.922  0.08
17 Pd 0.750 0.150 0.713  0.18
18 Cu 0.750 0.627 0.217  0.03
19 Pd 0.250 0.655 0.673  0.10
20 Cu 0.750 0.450 0.626  0.03

## Properties
- DOS(E_F) (states/eV/atom) = 0.798
- ΔE to the lowest computed polymorph (meV per atom) = 0.0
- energy relative to the elements (eV/f.u.) = -1.261
- symmetry = No. 11



Material: MnCuPd14
Method: DFT, GGA-PBE
State: relaxed

abc: 5.558 5.558 7.881
angles: 90.00 90.00 90.00
Each line ends with the local moment (μB).
Sites, in units of the cell vectors:
1 Pd 0.125 0.625 0.256  0.14
2 Pd 0.625 0.125 0.744  0.14
3 Pd 0.375 0.875 0.500  0.18
4 Pd 0.625 0.125 0.256  0.14
5 Cu 0.375 0.375 0.500  0.06
6 Pd 0.625 0.625 0.744  0.14
7 Pd 0.125 0.625 0.744  0.14
8 Pd 0.375 0.375 0.000  -0.02
9 Pd 0.875 0.375 0.500  0.18
10 Pd 0.875 0.875 0.000  0.19
11 Mn 0.875 0.875 0.500  3.93
12 Pd 0.625 0.625 0.256  0.14
13 Pd 0.875 0.375 0.000  0.12
14 Pd 0.125 0.125 0.744  0.14
15 Pd 0.125 0.125 0.256  0.14
16 Pd 0.375 0.875 0.000  0.12

## Properties
- DOS(E_F) (states/eV/atom) = 1.863
- energy relative to the elements (eV/f.u.) = -0.997
- symmetry = No. 123



Material: MnCuPdRh
Method: DFT, GGA-PBE
State: relaxed

abc: 3.065 3.065 5.930
angles: 90.00 90.00 90.00
Each line ends with the local moment (μB).
Sites, in units of the cell vectors:
1 Pd 0.500 0.500 0.611  0.18
2 Mn 0.000 0.000 0.347  3.50
3 Cu 0.000 0.000 0.862  -0.05
4 Rh 0.500 0.500 0.108  0.20

## Properties
- DOS(E_F) (states/eV/atom) = 0.953
- energy relative to the elements (eV/f.u.) = -0.458
- symmetry = No. 99



Material: MnCuSiPd
Method: DFT, GGA-PBE
State: relaxed

abc: 4.217 4.217 4.217
angles: 60.00 60.00 60.00
Each line ends with the local moment (μB).
Sites, in units of the cell vectors:
1 Mn 0.000 0.000 0.000  3.20
2 Pd 0.500 0.500 0.500  0.06
3 Cu 0.250 0.250 0.250  0.10
4 Si 0.750 0.750 0.750  -0.07

## Properties
- E_form (uncorrected) (eV per atom) = -0.21
- DOS(E_F) (states/eV/atom) = 0.581
- symmetry = No. 216



Material: MnCu2TePd4
Method: DFT, GGA-PBE
State: relaxed

abc: 4.427 4.427 7.778
angles: 73.47 73.47 60.00
Each line ends with the local moment (μB).
Sites, in units of the cell vectors:
1 Pd 0.125 0.125 0.626  0.11
2 Pd 0.621 0.621 0.136  0.04
3 Cu 0.242 0.242 0.274  0.01
4 Cu 0.758 0.758 0.726  0.01
5 Te 0.000 0.000 0.000  -0.01
6 Pd 0.875 0.875 0.374  0.11
7 Pd 0.379 0.379 0.864  0.04
8 Mn 0.500 0.500 0.500  3.99

## Properties
- E_form (uncorrected) (eV per atom) = -0.18
- DOS(E_F) (states/eV/atom) = 0.463
- symmetry = No. 166



Material: Mn2CuTePd
Method: DFT, GGA-PBE
State: relaxed

abc: 4.900 5.046 4.900
angles: 90.00 90.00 90.00
Each line ends with the local moment (μB).
Sites, in units of the cell vectors:
1 Pd 0.000 0.000 0.000  0.20
2 Te 0.000 0.500 0.000  -0.01
3 Cu 0.500 0.500 0.500  -0.01
4 Mn 0.500 0.000 0.000  4.12
5 Mn 0.000 0.000 0.500  4.19

## Properties
- E_form (uncorrected) (eV per atom) = 0.83
- DOS(E_F) (states/eV/atom) = 0.681
- symmetry = No. 123



Material: MnTlCuPd
Method: DFT, GGA-PBE
State: relaxed

abc: 4.537 4.537 4.537
angles: 60.00 60.00 60.00
Each line ends with the local moment (μB).
Sites, in units of the cell vectors:
1 Tl 0.250 0.250 0.250  -0.04
2 Pd 0.500 0.500 0.500  0.10
3 Cu 0.000 0.000 0.000  0.04
4 Mn 0.750 0.750 0.750  3.90

## Properties
- DOS(E_F) (states/eV/atom) = 0.527
- energy relative to the elements (eV/f.u.) = 0.335
- symmetry = No. 216



Material: MnCu2PdW
Method: DFT, GGA-PBE
State: relaxed

abc: 4.675 4.409 4.675
angles: 90.00 90.00 90.00
Each line ends with the local moment (μB).
Sites, in units of the cell vectors:
1 Pd 0.500 0.500 0.500  -0.06
2 W 0.000 0.000 0.000  -0.57
3 Cu 0.000 0.000 0.500  -0.08
4 Mn 0.000 0.500 0.000  2.38
5 Cu 0.500 0.000 0.000  -0.03

## Properties
- DOS(E_F) (states/eV/atom) = 0.815
- energy relative to the elements (eV/f.u.) = 7.496
- symmetry = No. 123



Material: Pm2MnCu
Method: DFT, GGA-PBE
State: relaxed

abc: 3.572 3.572 7.296
angles: 90.00 90.00 90.00
Each line ends with the local moment (μB).
Sites, in units of the cell vectors:
1 Pm 0.000 0.000 0.754  -0.17
2 Mn 0.500 0.500 0.500  3.50
3 Pm 0.000 0.000 0.246  -0.17
4 Cu 0.500 0.500 0.000  0.00

## Properties
- DOS(E_F) (states/eV/atom) = 1.055
- energy relative to the elements (eV/f.u.) = 0.216
- symmetry = No. 123



Material: PmMnCu
Method: DFT, GGA-PBE
State: relaxed

abc: 5.396 5.396 5.396
angles: 90.07 58.92 119.00
Each line ends with the local moment (μB).
Sites, in units of the cell vectors:
1 Mn 0.000 0.500 0.000  3.13
2 Cu 0.500 0.500 0.000  0.05
3 Cu 0.000 0.500 0.500  0.05
4 Mn 0.500 0.000 0.000  3.13
5 Pm 0.750 0.875 0.375  -0.31
6 Pm 0.250 0.125 0.625  -0.31

## Properties
- DOS(E_F) (states/eV/atom) = 1.102
- energy relative to the elements (eV/f.u.) = 0.200
- symmetry = No. 74



Material: PmPrMnCu
Method: DFT, GGA-PBE
State: relaxed

abc: 5.128 5.128 5.128
angles: 60.00 60.00 60.00
Each line ends with the local moment (μB).
Sites, in units of the cell vectors:
1 Pm 0.500 0.500 0.500  -0.21
2 Cu 0.250 0.250 0.250  -0.01
3 Mn 0.750 0.750 0.750  3.55
4 Pr 0.000 0.000 0.000  -0.18

## Properties
- DOS(E_F) (states/eV/atom) = 1.013
- energy relative to the elements (eV/f.u.) = 0.453
- symmetry = No. 216



Material: PmMnCuPt
Method: DFT, GGA-PBE
State: relaxed

abc: 4.758 4.758 4.758
angles: 60.00 60.00 60.00
Each line ends with the local moment (μB).
Sites, in units of the cell vectors:
1 Cu 0.250 0.250 0.250  0.02
2 Pm 0.000 0.000 0.000  -0.05
3 Mn 0.500 0.500 0.500  4.01
4 Pt 0.750 0.750 0.750  0.14

## Properties
- DOS(E_F) (states/eV/atom) = 0.391
- energy relative to the elements (eV/f.u.) = -1.183
- symmetry = No. 216



Material: PmMnCuRh
Method: DFT, GGA-PBE
State: relaxed

abc: 4.695 4.695 4.695
angles: 60.00 60.00 60.00
Each line ends with the local moment (μB).
Sites, in units of the cell vectors:
1 Rh 0.000 0.000 0.000  0.31
2 Mn 0.250 0.250 0.250  3.92
3 Cu 0.500 0.500 0.500  0.03
4 Pm 0.750 0.750 0.750  -0.04

## Properties
- DOS(E_F) (states/eV/atom) = 0.892
- energy relative to the elements (eV/f.u.) = -0.410
- symmetry = No. 216



Material: PmMnCuSb
Method: DFT, GGA-PBE
State: relaxed

abc: 4.819 4.819 4.819
angles: 60.00 60.00 60.00
Each line ends with the local moment (μB).
Sites, in units of the cell vectors:
1 Sb 0.500 0.500 0.500  -0.04
2 Mn 0.250 0.250 0.250  3.21
3 Cu 0.750 0.750 0.750  0.03
4 Pm 0.000 0.000 0.000  -0.10

## Properties
- E_form (uncorrected) (eV per atom) = -0.02
- DOS(E_F) (states/eV/atom) = 1.216
- symmetry = No. 216



Material: Pm2MnCuSe5
Method: DFT, GGA-PBE
State: relaxed

abc: 4.049 9.054 11.267
angles: 90.00 90.00 102.92
Each line ends with the local moment (μB).
Sites, in units of the cell vectors:
1 Mn 0.599 0.199 0.989  3.57
2 Cu 0.785 0.571 0.478  0.06
3 Se 0.353 0.707 0.999  0.01
4 Mn 0.401 0.801 0.489  3.57
5 Pm 0.110 0.221 0.307  0.04
6 Pm 0.875 0.751 0.189  0.03
7 Se 0.520 0.040 0.803  -0.03
8 Pm 0.890 0.779 0.807  0.04
9 Pm 0.125 0.249 0.689  0.03
10 Se 0.693 0.386 0.154  0.00
11 Se 0.032 0.063 0.066  0.01
12 Se 0.291 0.582 0.341  0.01
13 Cu 0.215 0.429 0.978  0.06
14 Se 0.709 0.418 0.841  0.01
15 Se 0.968 0.937 0.566  0.01
16 Se 0.480 0.960 0.303  -0.03
17 Se 0.307 0.614 0.654  0.00
18 Se 0.647 0.293 0.499  0.01

## Properties
- E_form (uncorrected) (eV per atom) = -1.18
- DOS(E_F) (states/eV/atom) = 0.099
- symmetry = No. 36



Material: PmSmMnCu
Method: DFT, GGA-PBE
State: relaxed

abc: 5.073 5.073 5.073
angles: 60.00 60.00 60.00
Each line ends with the local moment (μB).
Sites, in units of the cell vectors:
1 Mn 0.250 0.250 0.250  3.50
2 Cu 0.750 0.750 0.750  -0.01
3 Pm 0.500 0.500 0.500  -0.18
4 Sm 0.000 0.000 0.000  -0.19

## Properties
- DOS(E_F) (states/eV/atom) = 1.013
- energy relative to the elements (eV/f.u.) = 0.353
- symmetry = No. 216



Material: TbPmMnCu
Method: DFT, GGA-PBE
State: relaxed

abc: 5.030 5.030 5.030
angles: 60.00 60.00 60.00
Each line ends with the local moment (μB).
Sites, in units of the cell vectors:
1 Cu 0.250 0.250 0.250  -0.01
2 Tb 0.500 0.500 0.500  -0.22
3 Pm 0.000 0.000 0.000  -0.17
4 Mn 0.750 0.750 0.750  3.46

## Properties
- DOS(E_F) (states/eV/atom) = 1.037
- energy relative to the elements (eV/f.u.) = 0.270
- symmetry = No. 216